Version 1
KIr2N2: optimized geometry, PBE.

Geometry as CIF:
```
data_KIr2N2
_cell_length_a 7.4750
_cell_length_b 7.4750
_cell_length_c 2.7360
_cell_angle_alpha 90.00
_cell_angle_beta 90.00
_cell_angle_gamma 90.00
_space_group_name_H-M_alt 'P 1'
_space_group_IT_number 1
_space_group_name_Hall 'P 1'
loop_
_atom_site_label
_atom_site_type_symbol
_atom_site_fract_x
_atom_site_fract_y
_atom_site_fract_z
_atom_site_occupancy
Ir1 Ir 0.6199 0.8801 0.5000 1
Ir2 Ir 0.8801 0.3801 0.5000 1
Ir3 Ir 0.1199 0.6199 0.5000 1
Ir4 Ir 0.3801 0.1199 0.5000 1
K1 K 0.0000 0.0000 0.0000 1
K2 K 0.5000 0.5000 0.0000 1
N1 N 0.6129 0.1129 0.0000 1
N2 N 0.1129 0.3871 0.0000 1
N3 N 0.3871 0.8871 0.0000 1
N4 N 0.8871 0.6129 0.0000 1
```

Summary:
Symmetry: No. 127

---

Version 2
KIr2N2: optimized geometry, PBE.

Geometry as CIF:
```
data_KIr2N2
_cell_length_a 3.7079
_cell_length_b 3.7079
_cell_length_c 6.5957
_cell_angle_alpha 73.68
_cell_angle_beta 73.68
_cell_angle_gamma 90.00
_space_group_name_H-M_alt 'P 1'
_space_group_IT_number 1
_space_group_name_Hall 'P 1'
loop_
_atom_site_label
_atom_site_type_symbol
_atom_site_fract_x
_atom_site_fract_y
_atom_site_fract_z
_atom_site_occupancy
N1 N 0.6592 0.6592 0.6816 1
N2 N 0.3408 0.3408 0.3184 1
Ir1 Ir 0.2500 0.7500 0.5000 1
Ir2 Ir 0.7500 0.2500 0.5000 1
K1 K 0.0000 0.0000 0.0000 1
```

Summary:
Symmetry: No. 139

---

Which structure is the least stable? The one labeled version 1.

---

Version 1
KIr3N: optimized geometry, PBE.

Geometry as CIF:
```
data_KIr3N
_cell_length_a 4.2324
_cell_length_b 4.2324
_cell_length_c 4.2324
_cell_angle_alpha 90.00
_cell_angle_beta 90.00
_cell_angle_gamma 90.00
_space_group_name_H-M_alt 'P 1'
_space_group_IT_number 1
_space_group_name_Hall 'P 1'
loop_
_atom_site_label
_atom_site_type_symbol
_atom_site_fract_x
_atom_site_fract_y
_atom_site_fract_z
_atom_site_occupancy
N1 N 0.0000 0.0000 0.0000 1
Ir1 Ir 0.0000 0.0000 0.5000 1
Ir2 Ir 0.0000 0.5000 0.0000 1
Ir3 Ir 0.5000 0.0000 0.0000 1
K1 K 0.5000 0.5000 0.5000 1
```

Summary:
Symmetry: No. 221

---

Version 2
KIr3N: optimized geometry, PBE.

Geometry as CIF:
```
data_KIr3N
_cell_length_a 4.8975
_cell_length_b 4.8975
_cell_length_c 4.8975
_cell_angle_alpha 90.00
_cell_angle_beta 90.00
_cell_angle_gamma 90.00
_space_group_name_H-M_alt 'P 1'
_space_group_IT_number 1
_space_group_name_Hall 'P 1'
loop_
_atom_site_label
_atom_site_type_symbol
_atom_site_fract_x
_atom_site_fract_y
_atom_site_fract_z
_atom_site_occupancy
N1 N 0.5000 0.5000 0.5000 1
K1 K 0.0000 0.0000 0.0000 1
Ir1 Ir 0.5000 0.0000 0.0000 1
Ir2 Ir 0.0000 0.0000 0.5000 1
Ir3 Ir 0.0000 0.5000 0.0000 1
```

Summary:
Symmetry: No. 221

---

Which structure is the least stable? The one labeled version 2.

---

Version 1
KIrSN2: optimized geometry, PBE.

Geometry as CIF:
```
data_KIrSN2
_cell_length_a 3.9080
_cell_length_b 3.9080
_cell_length_c 5.2161
_cell_angle_alpha 90.00
_cell_angle_beta 90.00
_cell_angle_gamma 90.00
_space_group_name_H-M_alt 'P 1'
_space_group_IT_number 1
_space_group_name_Hall 'P 1'
loop_
_atom_site_label
_atom_site_type_symbol
_atom_site_fract_x
_atom_site_fract_y
_atom_site_fract_z
_atom_site_occupancy
S1 S 0.0000 0.0000 0.5000 1
Ir1 Ir 0.0000 0.0000 0.0000 1
K1 K 0.5000 0.5000 0.5000 1
N1 N 0.5000 0.0000 0.0000 1
N2 N 0.0000 0.5000 0.0000 1
```

Summary:
Symmetry: No. 123

---

Version 2
KIrSN2: optimized geometry, PBE.

Geometry as CIF:
```
data_KIrSN2
_cell_length_a 4.1437
_cell_length_b 4.1437
_cell_length_c 5.9349
_cell_angle_alpha 90.00
_cell_angle_beta 90.00
_cell_angle_gamma 90.00
_space_group_name_H-M_alt 'P 1'
_space_group_IT_number 1
_space_group_name_Hall 'P 1'
loop_
_atom_site_label
_atom_site_type_symbol
_atom_site_fract_x
_atom_site_fract_y
_atom_site_fract_z
_atom_site_occupancy
K1 K 0.0000 0.0000 0.0000 1
N1 N 0.0000 0.5000 0.0000 1
N2 N 0.5000 0.0000 0.0000 1
S1 S 0.0000 0.0000 0.5000 1
Ir1 Ir 0.5000 0.5000 0.5000 1
```

Summary:
Symmetry: No. 123

---

Which structure is the least stable? The one labeled version 2.